# 1
## La5Al3 (PBE)

Data for a relaxed structure of La5Al3.

Summary:
Energy in eV per atom: -4.7594
Space-group type: No. 130
Excess energy over the best structure of this formula in the dataset in eV per atom: 0.000
Energy relative to the elements in eV/atom: -0.28
Total magnetization in μB per formula unit: 0.000

Geometry as CIF:
```
data_La5Al3
_chemical_formula_sum 'La20 Al12'
_space_group_name_H-M_alt 'P 1'
_space_group_IT_number 1
_cell_length_a 8.1523
_cell_length_b 8.1523
_cell_length_c 14.9138
_cell_angle_alpha 90.00
_cell_angle_beta 90.00
_cell_angle_gamma 90.00
loop_
_space_group_symop_operation_xyz
'x,y,z'
loop_
_atom_site_label
_atom_site_fract_x
_atom_site_fract_y
_atom_site_fract_z
La1 0.8352 0.8163 0.8986
La2 0.1648 0.1837 0.8986
La3 0.1837 0.1648 0.6014
La4 0.1648 0.8163 0.3986
La5 0.1837 0.8352 0.1014
La6 0.0000 0.5000 0.2209
La7 0.3163 0.3352 0.3986
La8 0.0000 0.5000 0.7209
La9 0.8163 0.8352 0.6014
La10 0.6648 0.6837 0.1014
La11 0.5000 0.0000 0.7791
La12 0.3352 0.3163 0.1014
La13 0.6648 0.3163 0.6014
La14 0.6837 0.6648 0.3986
La15 0.6837 0.3352 0.8986
La16 0.3352 0.6837 0.6014
La17 0.8352 0.1837 0.3986
La18 0.5000 0.0000 0.2791
La19 0.3163 0.6648 0.8986
La20 0.8163 0.1648 0.1014
Al1 0.6156 0.3844 0.2500
Al2 0.8844 0.1156 0.7500
Al3 0.3844 0.3844 0.7500
Al4 0.0000 0.5000 0.5040
Al5 0.8844 0.8844 0.2500
Al6 0.0000 0.5000 0.0040
Al7 0.5000 0.0000 0.9960
Al8 0.1156 0.1156 0.2500
Al9 0.6156 0.6156 0.7500
Al10 0.3844 0.6156 0.2500
Al11 0.1156 0.8844 0.7500
Al12 0.5000 0.0000 0.4960
```

# 2
## LaAl5 (PBE)

Data for a relaxed structure of LaAl5.

Summary:
Energy in eV per atom: -4.0211
Space-group type: No. 12
Energy relative to the elements in eV/atom: -0.08
Total magnetization in μB per formula unit: 0.000

Geometry as CIF:
```
data_LaAl5
_chemical_formula_sum 'La1 Al5'
_space_group_name_H-M_alt 'P 1'
_space_group_IT_number 1
_cell_length_a 6.1242
_cell_length_b 6.1242
_cell_length_c 6.8957
_cell_angle_alpha 75.91
_cell_angle_beta 75.91
_cell_angle_gamma 28.81
loop_
_space_group_symop_operation_xyz
'x,y,z'
loop_
_atom_site_label
_atom_site_fract_x
_atom_site_fract_y
_atom_site_fract_z
La1 0.6946 0.6946 0.1110
Al1 0.6942 0.6942 0.6115
Al2 0.3594 0.3594 0.7315
Al3 0.9960 0.9960 0.9251
Al4 0.0296 0.0296 0.4902
Al5 0.3928 0.3928 0.2973
```

# 3
## LaAl11 (PBE)

Data for a relaxed structure of LaAl11.

Summary:
Energy in eV per atom: -3.9557
Space-group type: No. 141
Energy relative to the elements in eV/atom: -0.11
Total magnetization in μB per formula unit: 0.000

Geometry as CIF:
```
data_LaAl11
_chemical_formula_sum 'La2 Al22'
_space_group_name_H-M_alt 'P 1'
_space_group_IT_number 1
_cell_length_a 7.2350
_cell_length_b 8.6240
_cell_length_c 8.6240
_cell_angle_alpha 79.87
_cell_angle_beta 65.20
_cell_angle_gamma 65.20
loop_
_space_group_symop_operation_xyz
'x,y,z'
loop_
_atom_site_label
_atom_site_fract_x
_atom_site_fract_y
_atom_site_fract_z
Al1 0.1519 0.1710 0.4154
Al2 0.5981 0.0846 0.3290
Al3 0.8750 0.2500 0.7500
Al4 0.7382 0.8290 0.5846
Al5 0.8750 0.7500 0.2500
Al6 0.5981 0.3290 0.0846
Al7 0.4328 0.4154 0.8290
Al8 0.6771 0.5846 0.1710
Al9 0.8750 0.2500 0.2500
Al10 0.1519 0.4154 0.1710
Al11 0.3172 0.6710 0.0846
Al12 0.0118 0.6710 0.9154
Al13 0.6771 0.1710 0.5846
Al14 0.0000 0.0000 0.0000
Al15 0.7500 0.5000 0.5000
Al16 0.4328 0.8290 0.4154
Al17 0.7382 0.5846 0.8290
Al18 0.3750 0.7500 0.7500
Al19 0.0729 0.9154 0.3290
Al20 0.0729 0.3290 0.9154
Al21 0.0118 0.9154 0.6710
Al22 0.3172 0.0846 0.6710
La1 0.5000 0.0000 0.0000
La2 0.2500 0.5000 0.5000
```

# 4
## La3Al (PBE)

Data for a relaxed structure of La3Al.

Summary:
Energy in eV per atom: -4.7466
Space-group type: No. 25
Energy relative to the elements in eV/atom: -0.12
Total magnetization in μB per formula unit: 0.000

Geometry as CIF:
```
data_La3Al
_chemical_formula_sum 'La3 Al1'
_space_group_name_H-M_alt 'P 1'
_space_group_IT_number 1
_cell_length_a 3.6710
_cell_length_b 5.5757
_cell_length_c 6.0188
_cell_angle_alpha 90.00
_cell_angle_beta 90.00
_cell_angle_gamma 90.00
loop_
_space_group_symop_operation_xyz
'x,y,z'
loop_
_atom_site_label
_atom_site_fract_x
_atom_site_fract_y
_atom_site_fract_z
La1 0.0000 0.5000 0.3145
La2 0.5000 0.5000 0.8779
La3 0.5000 0.0000 0.4767
Al1 0.0000 0.0000 0.9976
```

# 5
## La3Al (PBE)

Data for a relaxed structure of La3Al.

Summary:
Energy in eV per atom: -4.7893
Space-group type: No. 123
Energy relative to the elements in eV/atom: -0.16
Total magnetization in μB per formula unit: 0.000

Geometry as CIF:
```
data_La3Al
_chemical_formula_sum 'La3 Al1'
_space_group_name_H-M_alt 'P 1'
_space_group_IT_number 1
_cell_length_a 3.7189
_cell_length_b 3.7189
_cell_length_c 9.2844
_cell_angle_alpha 90.00
_cell_angle_beta 90.00
_cell_angle_gamma 90.00
loop_
_space_group_symop_operation_xyz
'x,y,z'
loop_
_atom_site_label
_atom_site_fract_x
_atom_site_fract_y
_atom_site_fract_z
Al1 0.0000 0.0000 0.0000
La1 0.0000 0.0000 0.5000
La2 0.5000 0.5000 0.7894
La3 0.5000 0.5000 0.2106
```

# 6
## La5Al (PBE)

Data for a relaxed structure of La5Al.

Summary:
Energy in eV per atom: -4.2929
Space-group type: No. 191
Excess energy over the best structure of this formula in the dataset in eV per atom: 0.536
Energy relative to the elements in eV/atom: 0.44
Total magnetization in μB per formula unit: 0.002

Geometry as CIF:
```
data_La5Al
_chemical_formula_sum 'La5 Al1'
_space_group_name_H-M_alt 'P 1'
_space_group_IT_number 1
_cell_length_a 6.3782
_cell_length_b 6.3782
_cell_length_c 5.9759
_cell_angle_alpha 90.00
_cell_angle_beta 90.00
_cell_angle_gamma 120.00
loop_
_space_group_symop_operation_xyz
'x,y,z'
loop_
_atom_site_label
_atom_site_fract_x
_atom_site_fract_y
_atom_site_fract_z
La1 0.3333 0.6667 0.0000
La2 0.5000 0.0000 0.5000
La3 0.6667 0.3333 0.0000
La4 0.0000 0.5000 0.5000
La5 0.5000 0.5000 0.5000
Al1 0.0000 0.0000 0.0000
```